A plane-wave DFT calculation with GGA-PBE was carried out for an optimized crystal structure of SrNi2Ir.

a = 2.8261 Å, b = 4.7276 Å, c = 9.7381 Å
α = 90.00°, β = 90.00°, γ = 90.00°
With the nearest neighbours (Å) after each atom.
Space group Imm2 (No. 44)
Inequivalent atoms, fractional coordinates:
Sr1 0.0000 0.0000 0.0000 [2 per cell]  6 Ni 2.75-3.06, 2 Sr 2.83
Ni1 0.0000 0.0000 0.5064 [2 per cell]  4 Ni 2.53-2.83, 2 Ir 2.58, 4 Sr 2.75
Ni2 0.0000 0.5000 0.2216 [2 per cell]  4 Ni 2.53-2.83, 4 Ir 2.82
Ir1 0.0000 0.5000 0.7848 [2 per cell]  6 Ni 2.58-2.82, 2 Ir 2.83

A plane-wave DFT calculation with GGA-PBE was carried out for an optimized crystal structure of SrNi2Ir.

a = 7.2869 Å, b = 4.2083 Å, c = 5.8170 Å
α = 90.00°, β = 114.91°, γ = 90.00°
With the nearest neighbours (Å) after each atom.
Space group Cm (No. 8)
Inequivalent atoms, fractional coordinates:
Sr1 0.0000 0.0000 0.0000 [2 per cell]  1 Ni 2.85, 1 Ir 2.94
Ni1 0.1804 0.0000 0.5405 [2 per cell]  3 Ni 2.45, 3 Ir 2.48
Ni2 0.4919 0.0000 0.4754 [2 per cell]  3 Ir 2.44, 3 Ni 2.45
Ir1 0.3143 0.5000 0.4428 [2 per cell]  6 Ni 2.44-2.48

A plane-wave DFT calculation with GGA-PBE was carried out for an optimized crystal structure of SrNi2Ir.

a = 6.4183 Å, b = 6.4183 Å, c = 6.4183 Å
α = 90.00°, β = 90.00°, γ = 90.00°
With the nearest neighbours (Å) after each atom.
Space group Fm-3m (No. 225)
Inequivalent atoms, fractional coordinates:
Sr1 0.0000 0.0000 0.0000 [4 per cell]  8 Ni 2.78
Ni1 0.2500 0.2500 0.2500 [8 per cell]  4 Ir 2.78, 4 Sr 2.78
Ir1 0.0000 0.0000 0.5000 [4 per cell]  8 Ni 2.78

A plane-wave DFT calculation with GGA-PBE was carried out for an optimized crystal structure of SrTcNiIr2.

Computed properties:
energy above the lowest structure with this stoichiometry = 438 meV/atom

a = 4.6097 Å, b = 4.6097 Å, c = 4.9190 Å
α = 90.00°, β = 90.00°, γ = 90.00°
With the nearest neighbours (Å) after each atom.
Space group P4/mmm (No. 123)
Inequivalent atoms, fractional coordinates:
Sr1 0.0000 0.0000 0.0000 [1 per cell]  2 Ni 2.46
Tc1 0.5000 0.5000 0.0000 [1 per cell]  4 Sr 3.26, 8 Ir 3.37
Ni1 0.0000 0.0000 0.5000 [1 per cell]  4 Ir 2.30, 2 Sr 2.46
Ir1 0.0000 0.5000 0.5000 [2 per cell]  2 Ni 2.30

A plane-wave DFT calculation with GGA-PBE was carried out for an optimized crystal structure of SrTcNiIr2.

Computed properties:
energy above the lowest structure with this stoichiometry = 0 meV/atom

a = 4.7178 Å, b = 4.7178 Å, c = 4.4465 Å
α = 90.00°, β = 90.00°, γ = 90.00°
With the nearest neighbours (Å) after each atom.
Space group P4/mmm (No. 123)
Inequivalent atoms, fractional coordinates:
Sr1 0.0000 0.0000 0.0000 [1 per cell]  8 Ir 3.24, 4 Tc 3.34
Tc1 0.5000 0.5000 0.0000 [1 per cell]  2 Ni 2.22
Ni1 0.5000 0.5000 0.5000 [1 per cell]  2 Tc 2.22, 4 Ir 2.36
Ir1 0.0000 0.5000 0.5000 [2 per cell]  2 Ni 2.36

A plane-wave DFT calculation with GGA-PBE was carried out for an optimized crystal structure of Sr2YNiIr.

a = 5.5328 Å, b = 5.5328 Å, c = 4.7087 Å
α = 90.00°, β = 90.00°, γ = 90.00°
With the nearest neighbours (Å) after each atom.
Space group P4/mmm (No. 123)
Inequivalent atoms, fractional coordinates:
Sr1 0.0000 0.5000 0.0000 [2 per cell]  2 Ni 2.77
Y1 0.0000 0.0000 0.5000 [1 per cell]  8 Sr 3.63, 4 Ir 3.91
Ni1 0.5000 0.5000 0.0000 [1 per cell]  2 Ir 2.35
Ir1 0.5000 0.5000 0.5000 [1 per cell]  2 Ni 2.35

A plane-wave DFT calculation with GGA-PBE was carried out for an optimized crystal structure of SrZn3NiIr.

a = 6.4966 Å, b = 12.2748 Å, c = 5.6900 Å
α = 90.00°, β = 90.00°, γ = 90.00°
With the nearest neighbours (Å) after each atom.
Space group Cmcm (No. 63)
Inequivalent atoms, fractional coordinates:
Sr1 0.0000 0.2299 0.2500 [4 per cell]  1 Ni 2.89, 2 Ir 3.07, 2 Zn 3.17
Zn1 0.0000 0.3428 0.7500 [4 per cell]  1 Ni 2.35, 1 Ir 2.54
Zn2 0.2074 0.0000 0.0000 [8 per cell]  2 Ni 2.41, 2 Ir 2.57, 1 Zn 2.69
Ni1 0.0000 0.4654 0.2500 [4 per cell]  5 Zn 2.35-2.41
Ir1 0.0000 0.1356 0.7500 [4 per cell]  5 Zn 2.54-2.57

A plane-wave DFT calculation with GGA-PBE was carried out for an optimized crystal structure of SrZnNiIr.

a = 4.2748 Å, b = 4.2748 Å, c = 15.7482 Å
α = 90.00°, β = 90.00°, γ = 120.00°
With the nearest neighbours (Å) after each atom.
Space group R3m (No. 160, hexagonal axes)
Inequivalent atoms, fractional coordinates:
Sr1 0.0000 0.0000 0.0000 [3 per cell]  4 Ni 3.01-3.33, 4 Zn 3.02-3.32
Zn1 0.0000 0.0000 0.8079 [3 per cell]  3 Ir 2.53, 3 Ni 2.59
Ni1 0.0000 0.0000 0.1910 [3 per cell]  3 Ir 2.48, 3 Zn 2.59
Ir1 0.0000 0.0000 0.5110 [3 per cell]  3 Ni 2.48, 3 Zn 2.53

Number 1: energy of formation from the pure elements 369 meV/atom. Number 2: energy of formation from the pure elements -128 meV/atom. Number 3: energy of formation from the pure elements 429 meV/atom. Number 4: energy of formation from the pure elements 1366 meV/atom. Number 5: energy of formation from the pure elements 927 meV/atom. Number 6: energy of formation from the pure elements 401 meV/atom. Number 7: energy of formation from the pure elements -130 meV/atom. Number 8: energy of formation from the pure elements -237 meV/atom.